# Ac3Si2SbPt9 | the Alexandria database | PBE | optimized geometry
data_Ac3Si2SbPt9
_symmetry_space_group_name_H-M 'P 1'
_symmetry_Int_Tables_number 1
_cell_length_a 7.449
_cell_length_b 7.449
_cell_length_c 7.000
_cell_angle_alpha 90.00
_cell_angle_beta 90.00
_cell_angle_gamma 120.00
loop_
_symmetry_equiv_pos_as_xyz
'x,y,z'
loop_
_atom_site_label
_atom_site_type_symbol
_atom_site_fract_x
_atom_site_fract_y
_atom_site_fract_z
Ac1 Ac 0.333 0.667 0.657
Ac2 Ac 0.000 0.000 0.000
Ac3 Ac 0.667 0.333 0.343
Si1 Si 0.333 0.667 0.140
Si2 Si 0.667 0.333 0.860
Sb1 Sb 0.000 0.000 0.500
Pt1 Pt 0.824 0.176 0.690
Pt2 Pt 0.824 0.647 0.690
Pt3 Pt 0.353 0.176 0.690
Pt4 Pt 0.647 0.824 0.310
Pt5 Pt 0.176 0.353 0.310
Pt6 Pt 0.176 0.824 0.310
Pt7 Pt 0.500 0.000 0.000
Pt8 Pt 0.000 0.500 0.000
Pt9 Pt 0.500 0.500 0.000
# V (Å³/atom): 22.43
# Symmetry: No. 164

# Ac2SnSbPt6 | the Alexandria database | PBE | optimized geometry
data_Ac2SnSbPt6
_symmetry_space_group_name_H-M 'P 1'
_symmetry_Int_Tables_number 1
_cell_length_a 7.016
_cell_length_b 7.054
_cell_length_c 5.613
_cell_angle_alpha 66.56
_cell_angle_beta 66.40
_cell_angle_gamma 81.86
loop_
_symmetry_equiv_pos_as_xyz
'x,y,z'
loop_
_atom_site_label
_atom_site_type_symbol
_atom_site_fract_x
_atom_site_fract_y
_atom_site_fract_z
Ac1 Ac 0.711 0.209 0.540
Ac2 Ac 0.289 0.791 0.460
Sn1 Sn 0.000 0.000 0.000
Sb1 Sb 0.500 0.500 0.000
Pt1 Pt 0.249 0.252 0.500
Pt2 Pt 0.752 0.747 0.001
Pt3 Pt 0.097 0.599 0.154
Pt4 Pt 0.903 0.401 0.846
Pt5 Pt 0.248 0.253 0.999
Pt6 Pt 0.751 0.748 0.500
# V (Å³/atom): 23.35
# Symmetry: No. 2

# Ac2SnSb3Pt4 | the Alexandria database | PBE | optimized geometry
data_Ac2SnSb3Pt4
_symmetry_space_group_name_H-M 'P 1'
_symmetry_Int_Tables_number 1
_cell_length_a 4.725
_cell_length_b 4.725
_cell_length_c 10.749
_cell_angle_alpha 90.00
_cell_angle_beta 90.00
_cell_angle_gamma 90.00
loop_
_symmetry_equiv_pos_as_xyz
'x,y,z'
loop_
_atom_site_label
_atom_site_type_symbol
_atom_site_fract_x
_atom_site_fract_y
_atom_site_fract_z
Ac1 Ac 0.500 0.000 0.237
Ac2 Ac 0.000 0.500 0.763
Sn1 Sn 0.500 0.500 0.500
Sb1 Sb 0.000 0.000 0.500
Sb2 Sb 0.500 0.000 0.873
Sb3 Sb 0.000 0.500 0.127
Pt1 Pt 0.500 0.500 0.000
Pt2 Pt 0.000 0.000 0.000
Pt3 Pt 0.500 0.000 0.627
Pt4 Pt 0.000 0.500 0.373
# V (Å³/atom): 24.00
# Symmetry: No. 115

# Ac3SnSb2Pt9 | the Alexandria database | PBE | optimized geometry
data_Ac3SnSb2Pt9
_symmetry_space_group_name_H-M 'P 1'
_symmetry_Int_Tables_number 1
_cell_length_a 6.788
_cell_length_b 6.788
_cell_length_c 9.912
_cell_angle_alpha 90.00
_cell_angle_beta 90.00
_cell_angle_gamma 120.00
loop_
_symmetry_equiv_pos_as_xyz
'x,y,z'
loop_
_atom_site_label
_atom_site_type_symbol
_atom_site_fract_x
_atom_site_fract_y
_atom_site_fract_z
Ac1 Ac 0.333 0.667 0.748
Ac2 Ac 0.000 0.000 0.000
Ac3 Ac 0.667 0.333 0.252
Sn1 Sn 0.000 0.000 0.500
Sb1 Sb 0.333 0.667 0.186
Sb2 Sb 0.667 0.333 0.814
Pt1 Pt 0.866 0.134 0.719
Pt2 Pt 0.866 0.732 0.719
Pt3 Pt 0.268 0.134 0.719
Pt4 Pt 0.732 0.866 0.281
Pt5 Pt 0.134 0.268 0.281
Pt6 Pt 0.134 0.866 0.281
Pt7 Pt 0.500 0.000 0.000
Pt8 Pt 0.000 0.500 0.000
Pt9 Pt 0.500 0.500 0.000
# V (Å³/atom): 26.37
# Symmetry: No. 164

# SrAcSbPt | the Alexandria database | PBE | optimized geometry
data_SrAcSbPt
_symmetry_space_group_name_H-M 'P 1'
_symmetry_Int_Tables_number 1
_cell_length_a 5.535
_cell_length_b 5.535
_cell_length_c 5.535
_cell_angle_alpha 60.00
_cell_angle_beta 60.00
_cell_angle_gamma 60.00
loop_
_symmetry_equiv_pos_as_xyz
'x,y,z'
loop_
_atom_site_label
_atom_site_type_symbol
_atom_site_fract_x
_atom_site_fract_y
_atom_site_fract_z
Sb1 Sb 0.250 0.250 0.250
Ac1 Ac 0.500 0.500 0.500
Pt1 Pt 0.750 0.750 0.750
Sr1 Sr 0.000 0.000 0.000
# V (Å³/atom): 29.97
# Symmetry: No. 216

# Ac2TbSb4Pt3 | the Alexandria database | PBE | optimized geometry
data_Ac2TbSb4Pt3
_symmetry_space_group_name_H-M 'P 1'
_symmetry_Int_Tables_number 1
_cell_length_a 4.731
_cell_length_b 4.731
_cell_length_c 11.622
_cell_angle_alpha 90.00
_cell_angle_beta 90.00
_cell_angle_gamma 90.00
loop_
_symmetry_equiv_pos_as_xyz
'x,y,z'
loop_
_atom_site_label
_atom_site_type_symbol
_atom_site_fract_x
_atom_site_fract_y
_atom_site_fract_z
Ac1 Ac 0.500 0.000 0.231
Ac2 Ac 0.000 0.500 0.769
Tb1 Tb 0.500 0.500 0.500
Sb1 Sb 0.500 0.500 0.000
Sb2 Sb 0.000 0.000 0.000
Sb3 Sb 0.500 0.000 0.652
Sb4 Sb 0.000 0.500 0.348
Pt1 Pt 0.000 0.000 0.500
Pt2 Pt 0.500 0.000 0.883
Pt3 Pt 0.000 0.500 0.117
# V (Å³/atom): 26.01
# Symmetry: No. 115

# AcTbSbPt | the Alexandria database | PBE | optimized geometry
data_AcTbSbPt
_symmetry_space_group_name_H-M 'P 1'
_symmetry_Int_Tables_number 1
_cell_length_a 5.394
_cell_length_b 5.394
_cell_length_c 5.394
_cell_angle_alpha 60.00
_cell_angle_beta 60.00
_cell_angle_gamma 60.00
loop_
_symmetry_equiv_pos_as_xyz
'x,y,z'
loop_
_atom_site_label
_atom_site_type_symbol
_atom_site_fract_x
_atom_site_fract_y
_atom_site_fract_z
Sb1 Sb 0.250 0.250 0.250
Ac1 Ac 0.500 0.500 0.500
Tb1 Tb 0.000 0.000 0.000
Pt1 Pt 0.750 0.750 0.750
# V (Å³/atom): 27.75
# Symmetry: No. 216

# Ac4SbTe2Pt | the Alexandria database | PBE | optimized geometry
data_Ac4SbTe2Pt
_symmetry_space_group_name_H-M 'P 1'
_symmetry_Int_Tables_number 1
_cell_length_a 4.578
_cell_length_b 8.200
_cell_length_c 8.288
_cell_angle_alpha 108.39
_cell_angle_beta 90.00
_cell_angle_gamma 90.00
loop_
_symmetry_equiv_pos_as_xyz
'x,y,z'
loop_
_atom_site_label
_atom_site_type_symbol
_atom_site_fract_x
_atom_site_fract_y
_atom_site_fract_z
Ac1 Ac 0.500 0.221 0.217
Ac2 Ac 0.500 0.779 0.783
Ac3 Ac 0.000 0.245 0.765
Ac4 Ac 0.000 0.755 0.235
Sb1 Sb 0.500 0.500 0.000
Te1 Te 0.500 0.000 0.500
Te2 Te 0.000 0.500 0.500
Pt1 Pt 0.000 0.000 0.000
# V (Å³/atom): 36.91
# Symmetry: No. 10

# Ac8SbTe4Pt3 | the Alexandria database | PBE | optimized geometry
data_Ac8SbTe4Pt3
_symmetry_space_group_name_H-M 'P 1'
_symmetry_Int_Tables_number 1
_cell_length_a 9.130
_cell_length_b 9.570
_cell_length_c 9.129
_cell_angle_alpha 118.49
_cell_angle_beta 120.00
_cell_angle_gamma 90.00
loop_
_symmetry_equiv_pos_as_xyz
'x,y,z'
loop_
_atom_site_label
_atom_site_type_symbol
_atom_site_fract_x
_atom_site_fract_y
_atom_site_fract_z
Ac1 Ac 0.249 0.722 0.974
Ac2 Ac 0.248 0.721 0.496
Ac3 Ac 0.263 0.289 0.526
Ac4 Ac 0.725 0.722 0.974
Ac5 Ac 0.275 0.278 0.026
Ac6 Ac 0.737 0.711 0.474
Ac7 Ac 0.752 0.279 0.504
Ac8 Ac 0.751 0.278 0.026
Sb1 Sb 0.000 0.500 0.000
Te1 Te 0.500 0.000 0.000
Te2 Te 0.500 0.000 0.500
Te3 Te 0.000 0.000 0.000
Te4 Te 0.000 0.000 0.500
Pt1 Pt 0.500 0.500 0.000
Pt2 Pt 0.500 0.500 0.500
Pt3 Pt 0.000 0.500 0.500
# V (Å³/atom): 36.03
# Symmetry: No. 12

# Ac6SbTe3Pt2 | the Alexandria database | PBE | optimized geometry
data_Ac6SbTe3Pt2
_symmetry_space_group_name_H-M 'P 1'
_symmetry_Int_Tables_number 1
_cell_length_a 7.931
_cell_length_b 7.931
_cell_length_c 8.422
_cell_angle_alpha 99.17
_cell_angle_beta 99.17
_cell_angle_gamma 119.94
loop_
_symmetry_equiv_pos_as_xyz
'x,y,z'
loop_
_atom_site_label
_atom_site_type_symbol
_atom_site_fract_x
_atom_site_fract_y
_atom_site_fract_z
Ac1 Ac 0.927 0.572 0.777
Ac2 Ac 0.718 0.718 0.220
Ac3 Ac 0.073 0.428 0.223
Ac4 Ac 0.572 0.927 0.777
Ac5 Ac 0.282 0.282 0.780
Ac6 Ac 0.428 0.073 0.223
Sb1 Sb 0.000 0.000 0.000
Te1 Te 0.158 0.842 0.500
Te2 Te 0.842 0.158 0.500
Te3 Te 0.500 0.500 0.500
Pt1 Pt 0.332 0.668 0.000
Pt2 Pt 0.668 0.332 0.000
# V (Å³/atom): 36.26
# Symmetry: No. 12

# Ac2TlSb3Pt4 | the Alexandria database | PBE | optimized geometry
data_Ac2TlSb3Pt4
_symmetry_space_group_name_H-M 'P 1'
_symmetry_Int_Tables_number 1
_cell_length_a 4.688
_cell_length_b 4.688
_cell_length_c 11.024
_cell_angle_alpha 90.00
_cell_angle_beta 90.00
_cell_angle_gamma 90.00
loop_
_symmetry_equiv_pos_as_xyz
'x,y,z'
loop_
_atom_site_label
_atom_site_type_symbol
_atom_site_fract_x
_atom_site_fract_y
_atom_site_fract_z
Ac1 Ac 0.500 0.000 0.237
Ac2 Ac 0.000 0.500 0.763
Tl1 Tl 0.500 0.500 0.500
Sb1 Sb 0.000 0.000 0.500
Sb2 Sb 0.500 0.000 0.875
Sb3 Sb 0.000 0.500 0.125
Pt1 Pt 0.500 0.500 0.000
Pt2 Pt 0.000 0.000 0.000
Pt3 Pt 0.500 0.000 0.638
Pt4 Pt 0.000 0.500 0.362
# V (Å³/atom): 24.23
# Symmetry: No. 115

The uncorrected formation energy results, record by record, are as follows: -0.739; -0.785; -0.914; -0.604; -0.915; -0.894; -0.821; -1.322; -1.325; -1.328; -0.822 eV/atom.